SrNi9Sb4 | PBE | relaxed Values from VASP.

Summary:
Space-group type   I4/mcm (140)
Total moment   0.0 μB per formula unit
Total energy   -0.1936 Ha/atom
N(E_F)   29.5 states/eV per cell

```
&SYSTEM
  ibrav = 0, nat = 28, ntyp = 3
/
ATOMIC_SPECIES
Ni 58.69 Ni.upf
Sb 121.76 Sb.upf
Sr 87.62 Sr.upf
ATOMIC_POSITIONS angstrom
Ni 4.009 1.131 -0.360
Ni 3.595 -1.260 -1.314
Ni 3.959 1.339 -6.296
Ni -0.319 -4.071 -5.181
Ni 4.255 -3.008 0.536
Ni 1.617 0.476 -0.667
Ni 1.908 0.715 -4.890
Ni 5.920 -2.466 -1.544
Ni 5.335 1.643 -4.154
Ni 5.626 1.882 -8.378
Ni 1.703 -3.572 -3.432
Ni -0.115 0.216 -6.641
Ni 7.358 2.142 -2.404
Ni 1.043 -1.824 -5.282
Ni -0.387 0.047 -4.162
Ni 3.284 1.018 -2.748
Ni 5.617 -0.761 0.435
Ni -0.622 -2.366 -3.202
Sb 3.693 -3.760 -1.888
Sb -0.426 -4.878 -2.713
Sb -1.180 -5.247 1.552
Sb 6.478 0.415 -6.298
Sb 5.724 0.046 -2.033
Sb 1.606 -1.072 -2.859
Sb 2.360 -0.703 -7.123
Sb 2.938 -4.129 2.377
Sr 0.838 -3.005 -0.112
Sr 4.460 -1.827 -4.634
CELL_PARAMETERS angstrom
-0.774 0.095 -8.325
8.017 2.263 -0.720
-1.945 -7.190 4.298
```


Sr3NiSb | PBE | relaxed Values from VASP.

Summary:
Space-group type   Pm-3m (221)
Total moment   0.0 μB per formula unit
Total energy   -0.1212 Ha/atom
N(E_F)   3.3 states/eV per cell

```
&SYSTEM
  ibrav = 0, nat = 5, ntyp = 3
/
ATOMIC_SPECIES
Sr 87.62 Sr.upf
Ni 58.69 Ni.upf
Sb 121.76 Sb.upf
ATOMIC_POSITIONS angstrom
Sr -1.462 -1.289 -1.992
Sr 1.825 -2.106 0.022
Sr -1.515 -1.293 1.949
Ni 0.000 0.000 0.000
Sb -1.153 -4.687 -0.020
CELL_PARAMETERS angstrom
-3.031 -2.586 3.898
-2.925 -2.577 -3.984
3.650 -4.212 0.045
```


Sr2Ni3Sb5 | PBE | relaxed Values from VASP.

Summary:
Space-group type   Ibam (72)
Total moment   0.0 μB per formula unit
Total energy   -0.1690 Ha/atom
N(E_F)   11.6 states/eV per cell

```
&SYSTEM
  ibrav = 0, nat = 20, ntyp = 3
/
ATOMIC_SPECIES
Ni 58.69 Ni.upf
Sb 121.76 Sb.upf
Sr 87.62 Sr.upf
ATOMIC_POSITIONS angstrom
Ni 3.292 3.561 4.584
Ni 6.585 5.079 2.812
Ni 9.878 7.562 4.937
Ni 6.585 6.044 6.710
Ni 1.646 0.000 0.000
Ni 4.939 0.000 0.000
Sb 8.231 8.022 6.867
Sb 4.939 5.561 4.761
Sb 9.878 9.027 2.869
Sb 4.939 3.101 2.654
Sb 6.585 4.228 8.477
Sb 8.231 3.101 2.654
Sb 4.939 8.022 6.867
Sb 3.293 2.096 6.652
Sb 6.585 6.895 1.044
Sb 8.231 5.561 4.761
Sr 9.878 5.257 8.070
Sr 3.293 5.866 1.451
Sr 6.585 8.784 3.949
Sr 6.585 2.339 5.572
CELL_PARAMETERS angstrom
6.585 0.000 0.000
3.293 8.823 0.951
3.293 2.300 8.570
```


SrNiSb | PBE | relaxed Values from VASP.

Summary:
Space-group type   Fmm2 (42)
Total moment   0.0 μB per formula unit
Total energy   -0.1500 Ha/atom
N(E_F)   3.4 states/eV per cell

```
&SYSTEM
  ibrav = 0, nat = 3, ntyp = 3
/
ATOMIC_SPECIES
Ni 58.69 Ni.upf
Sb 121.76 Sb.upf
Sr 87.62 Sr.upf
ATOMIC_POSITIONS angstrom
Ni 10.846 3.302 0.236
Sb 4.970 1.483 2.167
Sr 7.918 2.395 1.198
CELL_PARAMETERS angstrom
6.197 -0.005 0.005
5.145 3.460 0.068
1.052 0.270 3.455
```


SrNiSb | PBE | relaxed Values from VASP.

Summary:
Space-group type   C2/m (12)
Total moment   0.0 μB per formula unit
Total energy   -0.1653 Ha/atom
N(E_F)   4.5 states/eV per cell

```
&SYSTEM
  ibrav = 0, nat = 6, ntyp = 3
/
ATOMIC_SPECIES
Sr 87.62 Sr.upf
Sb 121.76 Sb.upf
Ni 58.69 Ni.upf
ATOMIC_POSITIONS angstrom
Sr 2.154 3.413 4.471
Sr 0.000 1.571 1.273
Sb 2.154 4.374 1.113
Sb 0.000 0.610 4.631
Ni 0.000 4.851 2.277
Ni 2.154 0.133 3.467
CELL_PARAMETERS angstrom
4.309 0.000 0.000
0.000 5.920 -0.396
-2.154 -0.935 6.139
```


Sr2NiSbTe | PBE | relaxed Values from VASP.

Summary:
Space-group type   P4/mmm (123)
Total moment   0.0 μB per formula unit
Total energy   -0.1483 Ha/atom
N(E_F)   3.7 states/eV per cell

```
&SYSTEM
  ibrav = 0, nat = 5, ntyp = 4
/
ATOMIC_SPECIES
Sr 87.62 Sr.upf
Sb 121.76 Sb.upf
Ni 58.69 Ni.upf
Te 127.60 Te.upf
ATOMIC_POSITIONS angstrom
Sr 2.312 -1.853 -0.219
Sr -1.861 -2.315 -0.062
Sb 0.102 -0.143 2.288
Ni 0.000 0.000 0.000
Te 0.553 -4.310 2.007
CELL_PARAMETERS angstrom
-3.721 -4.630 -0.124
4.624 -3.705 -0.438
0.204 -0.286 4.576
```


Sr2VNiSb | PBE | relaxed Values from VASP.

Summary:
Space-group type   P4/mmm (123)
Total moment   1.1 μB per formula unit
Total energy   -0.1466 Ha/atom
N(E_F)   11.6 states/eV per cell

```
&SYSTEM
  ibrav = 0, nat = 5, ntyp = 4
/
ATOMIC_SPECIES
Ni 58.69 Ni.upf
Sr 87.62 Sr.upf
V 50.94 V.upf
Sb 121.76 Sb.upf
ATOMIC_POSITIONS angstrom
Ni 0.000 0.000 0.000
Sr 2.853 0.000 0.000
Sr 0.000 0.000 2.853
V 2.853 2.359 2.853
Sb 0.000 2.359 0.000
CELL_PARAMETERS angstrom
5.705 0.000 0.000
0.000 4.718 0.000
0.000 0.000 5.705
```


TaNi2Sb | PBE | relaxed Values from VASP.

Summary:
Space-group type   F-43m (216)
Total moment   0.0 μB per formula unit
Total energy   -0.2483 Ha/atom
N(E_F)   3.4 states/eV per cell

```
&SYSTEM
  ibrav = 0, nat = 4, ntyp = 3
/
ATOMIC_SPECIES
Ni 58.69 Ni.upf
Sb 121.76 Sb.upf
Ta 180.95 Ta.upf
ATOMIC_POSITIONS angstrom
Ni 0.000 0.000 0.000
Ni 6.657 3.844 2.718
Sb 4.438 2.562 1.812
Ta 2.219 1.281 0.906
CELL_PARAMETERS angstrom
4.438 0.000 0.000
2.219 3.844 0.000
2.219 1.281 3.624
```


Ta2NiSb | PBE | relaxed Values from VASP.

Summary:
Space-group type   Pmmm (47)
Total moment   0.0 μB per formula unit
Total energy   -0.3092 Ha/atom
N(E_F)   2.4 states/eV per cell

```
&SYSTEM
  ibrav = 0, nat = 4, ntyp = 3
/
ATOMIC_SPECIES
Sb 121.76 Sb.upf
Ta 180.95 Ta.upf
Ni 58.69 Ni.upf
ATOMIC_POSITIONS angstrom
Sb -0.790 -2.522 1.431
Ta 0.000 0.000 0.000
Ta -1.929 -1.706 -1.095
Ni -2.456 -0.275 1.494
CELL_PARAMETERS angstrom
-3.595 0.541 -1.032
-0.263 -3.953 -1.158
-1.318 -1.090 4.020
```


Ta2NiSb | PBE | relaxed Values from VASP.

Summary:
Space-group type   Cmmm (65)
Total moment   0.0 μB per formula unit
Total energy   -0.3034 Ha/atom
N(E_F)   4.1 states/eV per cell

```
&SYSTEM
  ibrav = 0, nat = 4, ntyp = 3
/
ATOMIC_SPECIES
Sb 121.76 Sb.upf
Ta 180.95 Ta.upf
Ni 58.69 Ni.upf
ATOMIC_POSITIONS angstrom
Sb -1.345 1.197 5.768
Ta -0.071 0.131 0.219
Ta -0.947 1.757 2.935
Ni -0.327 -0.691 2.615
CELL_PARAMETERS angstrom
-2.072 -2.152 0.619
2.436 -1.119 1.456
-2.036 3.776 6.307
```


Ta2NiSb | PBE | relaxed Values from VASP.

Summary:
Space-group type   R3m (160)
Total moment   0.0 μB per formula unit
Total energy   -0.3016 Ha/atom
N(E_F)   2.3 states/eV per cell

```
&SYSTEM
  ibrav = 0, nat = 4, ntyp = 3
/
ATOMIC_SPECIES
Ta 180.95 Ta.upf
Sb 121.76 Sb.upf
Ni 58.69 Ni.upf
ATOMIC_POSITIONS angstrom
Ta 25.267 4.590 2.708
Ta 6.156 1.118 0.660
Sb 19.119 3.473 2.049
Ni 12.809 2.327 1.373
CELL_PARAMETERS angstrom
8.820 0.011 0.006
8.260 3.092 0.006
8.260 1.501 2.704
```


Ta2NiSb | PBE | relaxed Values from VASP.

Summary:
Space-group type   Pm (6)
Total moment   0.0 μB per formula unit
Total energy   -0.3105 Ha/atom
N(E_F)   2.8 states/eV per cell

```
&SYSTEM
  ibrav = 0, nat = 4, ntyp = 3
/
ATOMIC_SPECIES
Ta 180.95 Ta.upf
Ni 58.69 Ni.upf
Sb 121.76 Sb.upf
ATOMIC_POSITIONS angstrom
Ta -1.005 -2.254 -1.466
Ta 2.461 -6.288 -2.756
Ni 1.480 -3.152 -2.097
Sb -0.067 -5.065 -2.230
CELL_PARAMETERS angstrom
-3.489 -0.838 -1.202
1.238 -0.792 -3.040
1.305 -5.576 0.101
```


Energy relative to the elements, uncorrected, respectively: -0.2545, -0.3069, -0.4666, -0.2196, -0.6357, -0.7529, 0.4888, 0.1289, -0.0128, 0.1454, 0.1950, -0.0458 eV per atom.
Volume, respectively: 15.6, 34.6, 24.2, 24.7, 25.8, 32.4, 30.7, 15.5, 17.0, 17.4, 18.3, 17.5 A^3/atom.